Entry 1:
A plane-wave DFT calculation with PBE was carried out for crystalline PtWSe2 at its relaxed geometry.

Unit cell a=3.344 b=3.344 c=7.368 alpha=90.00 beta=90.00 gamma=90.00
Element x y z (fractional)
Se 0.500 0.500 0.344
Se 0.000 0.000 0.881
Pt 0.500 0.500 0.746
W 0.000 0.000 0.529

Computed properties:
Formation energy from raw total energies = 0.3 eV/f.u.

Entry 2:
A plane-wave DFT calculation with PBE was carried out for crystalline PtWSe2 at its relaxed geometry.

Unit cell a=2.915 b=2.915 c=9.306 alpha=90.00 beta=90.00 gamma=116.09
Element x y z (fractional)
Pt 0.500 0.500 0.750
W 0.500 0.500 0.250
Se 0.000 0.000 0.477
Se 0.000 0.000 0.023

Computed properties:
Formation energy from raw total energies = 2.3 eV/f.u.

Entry 3:
A plane-wave DFT calculation with PBE was carried out for crystalline PtWSe2 at its relaxed geometry.

Unit cell a=5.834 b=5.834 c=6.771 alpha=64.48 beta=64.48 gamma=90.00
Element x y z (fractional)
Se 0.875 0.866 0.750
Se 0.134 0.625 0.250
Se 0.375 0.384 0.750
Se 0.616 0.125 0.250
W 0.500 0.500 0.000
W 0.250 0.750 0.500
Pt 0.750 0.250 0.500
Pt 0.000 0.000 0.000

Computed properties:
Formation energy from raw total energies = 1.3 eV/f.u.

Entry 4:
A plane-wave DFT calculation with PBE was carried out for crystalline PtWSe2 at its relaxed geometry.

Unit cell a=4.606 b=4.606 c=4.606 alpha=60.00 beta=60.00 gamma=60.00
Element x y z (fractional)
W 0.750 0.750 0.750
Pt 0.500 0.500 0.500
Se 0.250 0.250 0.250
Se 0.000 0.000 0.000

Computed properties:
Formation energy from raw total energies = 2.6 eV/f.u.

Entry 5:
A plane-wave DFT calculation with PBE was carried out for crystalline PtW3Se at its relaxed geometry.

Unit cell a=4.817 b=4.817 c=4.817 alpha=90.00 beta=90.00 gamma=90.00
Element x y z (fractional)
Se 0.500 0.500 0.500
Pt 0.000 0.000 0.000
W 0.000 0.000 0.500
W 0.500 0.000 0.000
W 0.000 0.500 0.000

Computed properties:
Formation energy from raw total energies = 11.0 eV/f.u.

Entry 6:
A plane-wave DFT calculation with PBE was carried out for crystalline PtWSe2 at its relaxed geometry.

Unit cell a=5.238 b=5.238 c=7.001 alpha=73.17 beta=73.17 gamma=33.60
Element x y z (fractional)
Pt 0.818 0.818 0.564
W 0.511 0.511 0.636
Se 0.999 0.999 0.921
Se 0.172 0.172 0.378

Computed properties:
Formation energy from raw total energies = -0.3 eV/f.u.

Entry 7:
A plane-wave DFT calculation with PBE was carried out for crystalline Pt3WSe at its relaxed geometry.

Unit cell a=4.860 b=4.860 c=4.860 alpha=90.00 beta=90.00 gamma=90.00
Element x y z (fractional)
Se 0.500 0.500 0.500
Pt 0.000 0.500 0.000
Pt 0.500 0.000 0.000
Pt 0.000 0.000 0.500
W 0.000 0.000 0.000

Computed properties:
Formation energy from raw total energies = 6.5 eV/f.u.

Entry 8:
A plane-wave DFT calculation with PBE was carried out for crystalline PtWSe2 at its relaxed geometry.

Unit cell a=8.341 b=8.341 c=8.341 alpha=21.81 beta=21.81 gamma=21.81
Element x y z (fractional)
Pt 0.750 0.750 0.750
Se 0.991 0.991 0.991
Se 0.509 0.509 0.509
W 0.250 0.250 0.250

Computed properties:
Formation energy from raw total energies = 0.6 eV/f.u.